P.
{
  "formula": "NbAgMo2",
  "functional": "PBE",
  "state": "relaxed",
  "lattice": [[0.000, 3.233, 3.233], [3.233, 0.000, 3.233], [3.233, 3.233, 0.000]],
  "species": ["Nb", "Ag", "Mo", "Mo"],
  "frac_coords": [[0.000, 0.000, 0.000], [0.500, 0.500, 0.500], [0.250, 0.250, 0.250], [0.750, 0.750, 0.750]],
  "magnetic_moment_mub_per_atom": 0.000,
  "spacegroup": "No. 225",
  "vol_a3_per_atom": 16.90
}

---

Q.
{
  "formula": "NbAgMo2",
  "functional": "PBE",
  "state": "relaxed",
  "lattice": [[-1.928, 1.928, 9.797], [1.928, -1.928, 9.797], [1.928, 1.928, -9.797]],
  "species": ["Nb", "Nb", "Ag", "Ag", "Mo", "Mo", "Mo", "Mo"],
  "frac_coords": [[0.000, 0.000, 0.000], [0.750, 0.250, 0.500], [0.250, 0.750, 0.500], [0.500, 0.500, 0.000], [0.104, 0.625, 0.979], [0.375, 0.354, 0.479], [0.646, 0.125, 0.021], [0.875, 0.896, 0.521]],
  "magnetic_moment_mub_per_atom": 0.000,
  "spacegroup": "No. 122",
  "vol_a3_per_atom": 18.22
}

---

Relative energy table, unit kJ/mol of atoms: P 0.0; Q 34.0

---

P.
{
  "formula": "NiAg2Mo",
  "functional": "PBE",
  "state": "relaxed",
  "lattice": [[2.741, 0.000, 0.000], [0.000, 4.671, 0.000], [0.000, 0.000, 4.946]],
  "species": ["Ni", "Ag", "Ag", "Mo"],
  "frac_coords": [[0.000, 0.000, 0.000], [0.000, 0.500, 0.500], [0.500, 0.000, 0.500], [0.500, 0.500, 0.000]],
  "magnetic_moment_mub_per_atom": 0.000,
  "spacegroup": "No. 47",
  "vol_a3_per_atom": 15.83
}

---

Q.
{
  "formula": "NiAg2Mo",
  "functional": "PBE",
  "state": "relaxed",
  "lattice": [[4.795, -1.359, 0.000], [4.795, 1.359, 0.000], [-0.764, 0.000, 4.748]],
  "species": ["Ni", "Ag", "Ag", "Mo"],
  "frac_coords": [[0.000, 0.000, 0.000], [0.254, 0.254, 0.754], [0.746, 0.746, 0.246], [0.500, 0.500, 0.500]],
  "magnetic_moment_mub_per_atom": 0.000,
  "spacegroup": "No. 12",
  "vol_a3_per_atom": 15.47
}

---

R.
{
  "formula": "NiAg2Mo",
  "functional": "PBE",
  "state": "relaxed",
  "lattice": [[4.851, 0.000, 0.000], [0.000, 4.851, 0.000], [0.000, 0.000, 2.728]],
  "species": ["Ni", "Ag", "Ag", "Mo"],
  "frac_coords": [[0.000, 0.000, 0.000], [0.000, 0.500, 0.500], [0.500, 0.000, 0.500], [0.500, 0.500, 0.000]],
  "magnetic_moment_mub_per_atom": 0.200,
  "spacegroup": "No. 123",
  "vol_a3_per_atom": 16.05
}

---

Relative energy table, unit kJ/mol of atoms: P 4.9; Q 0.0; R 23.6

---

P.
{
  "formula": "NiAgMo",
  "functional": "PBE",
  "state": "relaxed",
  "lattice": [[-1.365, 1.365, 5.934], [1.365, -1.365, 5.934], [1.365, 1.365, -5.934]],
  "species": ["Ni", "Ag", "Mo"],
  "frac_coords": [[0.000, 0.000, 0.000], [0.332, 0.332, 0.000], [0.643, 0.643, 0.000]],
  "magnetic_moment_mub_per_atom": 0.000,
  "spacegroup": "No. 107",
  "vol_a3_per_atom": 14.74
}

---

Q.
{
  "formula": "NiAgMo",
  "functional": "PBE",
  "state": "relaxed",
  "lattice": [[0.000, 2.912, 2.912], [2.912, 0.000, 2.912], [2.912, 2.912, 0.000]],
  "species": ["Ni", "Ag", "Mo"],
  "frac_coords": [[0.000, 0.000, 0.000], [0.250, 0.250, 0.250], [0.750, 0.750, 0.750]],
  "magnetic_moment_mub_per_atom": 0.000,
  "spacegroup": "No. 216",
  "vol_a3_per_atom": 16.47
}

---

Relative energy table, unit kJ/mol of atoms: P 0.0; Q 46.6

---

P.
{
  "formula": "NiAgMo",
  "functional": "PBE",
  "state": "relaxed",
  "lattice": [[2.756, 0.000, 0.000], [-1.378, 2.387, 0.000], [0.000, 0.000, 6.842]],
  "species": ["Ni", "Ag", "Mo"],
  "frac_coords": [[0.000, 0.000, 0.000], [0.667, 0.333, 0.334], [0.333, 0.667, 0.705]],
  "magnetic_moment_mub_per_atom": 0.000,
  "spacegroup": "No. 156",
  "vol_a3_per_atom": 15.00
}

---

Q.
{
  "formula": "NiAgMo",
  "functional": "PBE",
  "state": "relaxed",
  "lattice": [[-1.339, 1.935, 4.278], [1.339, -1.935, 4.278], [1.339, 1.935, -4.278]],
  "species": ["Ni", "Ag", "Mo"],
  "frac_coords": [[0.000, 0.000, 0.000], [0.677, 0.677, 0.000], [0.363, 0.363, 0.000]],
  "magnetic_moment_mub_per_atom": 0.000,
  "spacegroup": "No. 44",
  "vol_a3_per_atom": 14.79
}

---

Relative energy table, unit kJ/mol of atoms: P 0.0; Q 7.2